1.
VASP calculation (SCAN) on a PBEsol-optimized structure of Ba2PtBr.

**N(E_F)**: 0.628 states/eV/atom
**Raw total energy**: -3.208 Ry per atom
**SG**: R-3m, No. 166
**Formation energy from raw total energies**: -5.81 eV per formula unit
**E above lowest polymorph**: 0.00 eV/f.u.

Structure (POSCAR):
```
Ba2PtBr
1.0
4.462 0.000 0.000
2.231 3.864 0.000
2.231 1.288 8.150
Ba Br Pt
2 1 1
direct
0.262 0.262 0.215
0.738 0.738 0.785
0.500 0.500 0.500
0.000 0.000 0.000
```

=====

2.
VASP calculation (SCAN) on a PBEsol-optimized structure of HfHgTeI2.

**N(E_F)**: 0.489 states/eV/atom
**Raw total energy**: -3.491 Ry per atom
**SG**: P4/mmm, No. 123
**Formation energy from raw total energies**: 4.10 eV per formula unit

Structure (POSCAR):
```
HfHgTeI2
1.0
-0.667 4.702 -2.851
-3.659 -2.523 -3.306
-4.135 1.496 3.434
I Hg Hf Te
2 1 1 1
direct
0.500 0.000 0.000
0.000 0.500 0.000
0.000 0.000 0.000
0.500 0.500 0.500
0.000 0.000 0.500
```

=====

3.
VASP calculation (SCAN) on a PBEsol-optimized structure of KRb2AsBr6.

**N(E_F)**: 0.000 states/eV/atom
**Raw total energy**: -1.471 Ry per atom
**SG**: Fm-3m, No. 225
**Formation energy from raw total energies**: -13.37 eV per formula unit

Structure (POSCAR):
```
KRb2AsBr6
1.0
-4.135 -4.438 5.229
3.827 -3.866 5.877
-0.794 2.448 7.584
Br Rb K As
6 2 1 1
direct
0.769 0.231 0.231
0.231 0.769 0.231
0.231 0.231 0.769
0.769 0.769 0.231
0.769 0.231 0.769
0.231 0.769 0.769
0.750 0.750 0.750
0.250 0.250 0.250
0.500 0.500 0.500
0.000 0.000 0.000
```

=====

4.
VASP calculation (SCAN) on a PBEsol-optimized structure of SrCa2Mg.

**ΔH_f (0 K)**: -8 meV per atom
**N(E_F)**: 0.976 states/eV/atom
**Raw total energy**: -0.856 Ry per atom
**SG**: Immm, No. 71

Structure (POSCAR):
```
SrCa2Mg
1.0
4.080 0.000 0.000
0.000 6.130 0.000
-2.040 -3.065 6.126
Ca Sr Mg
2 1 1
direct
0.219 0.219 0.438
0.781 0.781 0.562
0.000 0.500 0.000
0.500 0.000 0.000
```

=====

5.
VASP calculation (SCAN) on a PBEsol-optimized structure of CuRePO2.

**N(E_F)**: 0.597 states/eV/atom
**Raw total energy**: -1.554 Ry per atom
**SG**: P4/mmm, No. 123
**Formation energy from raw total energies**: 3.44 eV per formula unit

Structure (POSCAR):
```
CuRePO2
1.0
3.595 0.000 0.000
0.000 3.595 0.000
0.000 0.000 4.701
P O Cu Re
1 2 1 1
direct
0.000 0.000 0.500
0.500 0.000 0.000
0.000 0.500 0.000
0.000 0.000 0.000
0.500 0.500 0.500
```

=====

6.
VASP calculation (SCAN) on a PBEsol-optimized structure of Ca3TlOs.

**ΔH_f (0 K)**: 214 meV per atom
**N(E_F)**: 0.802 states/eV/atom
**Raw total energy**: -2.531 Ry per atom
**SG**: Pm-3m, No. 221

Structure (POSCAR):
```
Ca3TlOs
1.0
-5.249 0.090 -1.265
-1.166 -2.463 4.662
-0.499 4.805 2.413
Os Ca Tl
1 3 1
direct
0.000 0.000 0.000
0.000 0.000 0.500
0.000 0.500 0.000
0.500 0.000 0.000
0.500 0.500 0.500
```

=====

7.
VASP calculation (SCAN) on a PBEsol-optimized structure of RuRh5.

**ΔH_f (0 K)**: 40 meV per atom
**N(E_F)**: 1.226 states/eV/atom
**Raw total energy**: -2.492 Ry per atom
**SG**: Cm, No. 8
**E above lowest polymorph**: 0.18 eV/f.u.

Structure (POSCAR):
```
RuRh5
1.0
2.687 0.000 0.000
-1.343 4.899 -0.005
0.000 -1.570 6.136
Rh Ru
5 1
direct
0.332 0.663 0.668
0.667 0.334 0.333
0.002 0.004 0.999
0.057 0.114 0.615
0.386 0.773 0.273
0.723 0.446 0.945
```

=====

8.
VASP calculation (SCAN) on a PBEsol-optimized structure of CaZrSbP2.

**N(E_F)**: 0.667 states/eV/atom
**Raw total energy**: -1.400 Ry per atom
**SG**: P4/mmm, No. 123
**Formation energy from raw total energies**: 3.15 eV per formula unit

Structure (POSCAR):
```
CaZrSbP2
1.0
5.185 0.000 0.000
0.000 5.185 0.000
0.000 0.000 5.260
Sb P Zr Ca
1 2 1 1
direct
0.000 0.000 0.000
0.000 0.500 0.000
0.500 0.000 0.000
0.000 0.000 0.500
0.500 0.500 0.500
```

=====

9.
VASP calculation (SCAN) on a PBEsol-optimized structure of Ti3HgOs.

**ΔH_f (0 K)**: 287 meV per atom
**N(E_F)**: 0.981 states/eV/atom
**Raw total energy**: -2.744 Ry per atom
**SG**: Pm-3m, No. 221
**E above lowest polymorph**: 0.00 eV/f.u.

Structure (POSCAR):
```
Ti3HgOs
1.0
4.693 0.000 0.000
0.000 4.693 0.000
0.000 0.000 4.693
Ti Hg Os
3 1 1
direct
0.500 0.000 0.000
0.000 0.500 0.000
0.000 0.000 0.500
0.500 0.500 0.500
0.000 0.000 0.000
```

=====

10.
VASP calculation (SCAN) on a PBEsol-optimized structure of KRh2Se.

**N(E_F)**: 0.817 states/eV/atom
**Raw total energy**: -1.728 Ry per atom
**SG**: C2/m, No. 12
**Formation energy from raw total energies**: 1.90 eV per formula unit

Structure (POSCAR):
```
KRh2Se
1.0
-0.451 -2.714 0.483
4.138 -0.078 2.997
-4.520 2.504 1.985
K Rh Se
1 2 1
direct
0.500 0.500 0.000
0.000 0.000 0.500
0.500 0.500 0.500
0.000 0.000 0.000
```

=====

11.
VASP calculation (SCAN) on a PBEsol-optimized structure of NaSrMgMn2.

**ΔH_f (0 K)**: 1313 meV per atom
**N(E_F)**: 0.689 states/eV/atom
**Raw total energy**: -0.903 Ry per atom
**SG**: P4/mmm, No. 123

Structure (POSCAR):
```
NaSrMgMn2
1.0
-0.377 -4.986 1.438
5.187 -0.320 0.251
-0.158 1.511 5.196
Sr Na Mn Mg
1 1 2 1
direct
0.000 0.000 0.000
0.000 0.000 0.500
0.500 0.000 0.000
0.000 0.500 0.000
0.500 0.500 0.500
```

=====

12.
VASP calculation (SCAN) on a PBEsol-optimized structure of CsTmP4H12O18.

**N(E_F)**: 0.000 states/eV/atom
**Raw total energy**: -0.721 Ry per atom
**SG**: C2/c, No. 15

Structure (POSCAR):
```
CsTmP4H12O18
1.0
-4.091 1.194 -6.048
-4.454 -1.518 5.709
-0.426 14.616 3.358
Tm H O Cs P
2 24 36 2 8
direct
0.888 0.112 0.250
0.112 0.888 0.750
0.040 0.527 0.277
0.327 0.725 0.109
0.731 0.467 0.950
0.495 0.124 0.679
0.876 0.505 0.821
0.467 0.731 0.450
0.960 0.473 0.723
0.766 0.329 0.106
0.473 0.960 0.223
0.505 0.876 0.321
0.671 0.234 0.394
0.606 0.116 0.111
0.527 0.040 0.777
0.533 0.269 0.550
0.725 0.327 0.609
0.124 0.495 0.179
0.275 0.673 0.391
0.673 0.275 0.891
0.269 0.533 0.050
0.329 0.766 0.606
0.884 0.394 0.389
0.394 0.884 0.889
0.116 0.606 0.611
0.234 0.671 0.894
0.562 0.979 0.275
0.136 0.130 0.654
0.870 0.864 0.846
0.847 0.046 0.547
0.416 0.708 0.387
0.967 0.374 0.616
0.438 0.021 0.725
0.833 0.791 0.662
0.708 0.416 0.887
0.456 0.236 0.441
0.801 0.264 0.368
0.236 0.456 0.941
0.283 0.160 0.002
0.544 0.764 0.559
0.764 0.544 0.059
0.160 0.283 0.502
0.209 0.167 0.838
0.864 0.870 0.346
0.717 0.840 0.998
0.292 0.584 0.113
0.130 0.136 0.154
0.167 0.209 0.338
0.021 0.438 0.225
0.584 0.292 0.613
0.264 0.801 0.868
0.153 0.954 0.453
0.033 0.626 0.384
0.954 0.153 0.953
0.791 0.833 0.162
0.979 0.562 0.775
0.736 0.199 0.132
0.199 0.736 0.632
0.840 0.717 0.498
0.626 0.033 0.884
0.374 0.967 0.116
0.046 0.847 0.047
0.536 0.464 0.250
0.464 0.536 0.750
0.245 0.177 0.426
0.210 0.032 0.088
0.177 0.245 0.926
0.790 0.968 0.912
0.968 0.790 0.412
0.755 0.823 0.574
0.823 0.755 0.074
0.032 0.210 0.588
```

=====

Q: What is the N(E_F) in the first record?
A: 0.628 states/eV/atom

=====

Q: N(E_F) of number 2 (HfHgTeI2)?
A: 0.489 states/eV/atom

=====

Q: What is the raw total energy in the third record?
A: -1.471 Ry per atom

=====

What did the fourth record say?
VASP calculation (SCAN) on a PBEsol-optimized structure of SrCa2Mg.

**ΔH_f (0 K)**: -8 meV per atom
**N(E_F)**: 0.976 states/eV/atom
**Raw total energy**: -0.856 Ry per atom
**SG**: Immm, No. 71

Structure (POSCAR):
```
SrCa2Mg
1.0
4.080 0.000 0.000
0.000 6.130 0.000
-2.040 -3.065 6.126
Ca Sr Mg
2 1 1
direct
0.219 0.219 0.438
0.781 0.781 0.562
0.000 0.500 0.000
0.500 0.000 0.000
```